Entry 1:
{"formula": "La4BiP2N", "functional": "GGA-PBE", "state": "relaxed", "mass_density_g_cm3": 6.00, "raw_formation_energy_ev_per_fu": -10.95, "m_tot_mub_per_fu": 0.0, "crystal_system": "orthorhombic", "spacegroup": "Cmcm, No. 63", "cell": [[2.116, -7.419, 0.000], [2.116, 7.419, 0.000], [0.000, 0.000, 14.813]], "species": ["La", "La", "La", "La", "La", "La", "La", "La", "Bi", "Bi", "P", "P", "P", "P", "N", "N"], "frac_coords": [[0.000, 0.000, 0.000], [0.000, 0.000, 0.500], [0.256, 0.744, 0.623], [0.256, 0.744, 0.877], [0.420, 0.580, 0.250], [0.580, 0.420, 0.750], [0.744, 0.256, 0.123], [0.744, 0.256, 0.377], [0.102, 0.898, 0.250], [0.898, 0.102, 0.750], [0.369, 0.631, 0.051], [0.369, 0.631, 0.449], [0.631, 0.369, 0.551], [0.631, 0.369, 0.949], [0.166, 0.834, 0.750], [0.834, 0.166, 0.250]]}

=====

Entry 2:
{"formula": "La4Bi2PN2", "functional": "GGA-PBE", "state": "relaxed", "mass_density_g_cm3": 6.25, "raw_formation_energy_ev_per_fu": -10.82, "m_tot_mub_per_fu": 0.0, "crystal_system": "monoclinic", "spacegroup": "C2/m, No. 12", "cell": [[8.008, -2.084, 0.000], [8.008, 2.084, 0.000], [-3.987, 0.000, 8.223]], "species": ["La", "La", "La", "La", "Bi", "Bi", "P", "N", "N"], "frac_coords": [[0.025, 0.025, 0.298], [0.283, 0.283, 0.370], [0.717, 0.717, 0.630], [0.975, 0.975, 0.702], [0.397, 0.397, 0.956], [0.603, 0.603, 0.044], [0.500, 0.500, 0.500], [0.176, 0.176, 0.481], [0.824, 0.824, 0.519]]}